# 1
A plane-wave DFT calculation with GGA-PBE was carried out for a relaxed La2TaIn crystal.

Structure (POSCAR):
```
La2TaIn
1.0
5.904 0.001 0.000
-1.905 5.588 0.000
0.000 0.000 3.264
In La Ta
1 2 1
direct
0.000 0.500 0.500
0.000 0.000 0.000
0.500 0.500 0.000
0.500 0.000 0.500
```

Computed properties:
E_form in kJ/mol of formula units: 65.0
DOS at the Fermi energy in states/eV/cell: 4.2

# 2
A plane-wave DFT calculation with GGA-PBE was carried out for a relaxed Np3Al2Ge4 crystal.

Structure (POSCAR):
```
Np3Al2Ge4
1.0
0.701 -5.017 0.489
3.898 -0.849 6.108
-4.581 1.749 1.987
Np Al Ge
3 2 4
direct
0.211 0.697 0.242
0.789 0.303 0.758
0.000 0.000 0.000
0.683 0.952 0.360
0.317 0.048 0.640
0.527 0.724 0.895
0.114 0.355 0.370
0.473 0.276 0.105
0.886 0.645 0.630
```

Computed properties:
E_form in kJ/mol of formula units: -66.3
DOS at the Fermi energy in states/eV/cell: 16.7

# 3
A plane-wave DFT calculation with GGA-PBE was carried out for a relaxed Ca4Ac3 crystal.

Structure (POSCAR):
```
Ca4Ac3
1.0
-1.555 -3.308 1.501
3.602 -1.616 0.171
1.303 9.553 17.196
Ca Ac
4 3
direct
0.858 0.858 0.716
0.142 0.142 0.284
0.571 0.571 0.143
0.429 0.429 0.857
0.000 0.000 0.000
0.715 0.715 0.431
0.285 0.285 0.569
```

Computed properties:
E_form in kJ/mol of formula units: 17.3
DOS at the Fermi energy in states/eV/cell: 11.1

# 4
A plane-wave DFT calculation with GGA-PBE was carried out for a relaxed AlHBr3 crystal.

Structure (POSCAR):
```
AlHBr3
1.0
-2.271 0.485 -4.130
-3.347 -3.006 1.487
-2.468 3.630 1.783
H Al Br
1 1 3
direct
0.000 0.000 0.000
0.500 0.500 0.500
0.000 0.500 0.000
0.000 0.000 0.500
0.500 0.000 0.000
```

Computed properties:
Raw total energy in Ry/atom: -0.1467
DOS at the Fermi energy in states/eV/cell: 7.0

# 5
A plane-wave DFT calculation with GGA-PBE was carried out for a relaxed KLa2Cd crystal.

Structure (POSCAR):
```
KLa2Cd
1.0
-1.023 -0.453 -6.651
3.862 -4.724 2.874
-2.845 -1.978 0.573
Cd K La
1 1 2
direct
0.500 0.000 0.500
0.000 0.500 0.500
0.000 0.000 0.000
0.500 0.500 0.000
```

Computed properties:
E_form in kJ/mol of formula units: 102.8
DOS at the Fermi energy in states/eV/cell: 5.3

# 6
A plane-wave DFT calculation with GGA-PBE was carried out for a relaxed LaHo4Tl2 crystal.

Structure (POSCAR):
```
LaHo4Tl2
1.0
-3.335 2.090 3.184
-6.858 -1.581 -6.147
-1.544 -8.363 3.872
La Ho Tl
2 8 4
direct
0.500 0.000 0.000
0.000 0.500 0.500
0.000 0.099 0.352
0.000 0.901 0.648
0.500 0.148 0.599
0.500 0.852 0.401
0.500 0.401 0.852
0.500 0.599 0.148
0.000 0.352 0.099
0.000 0.648 0.901
0.000 0.202 0.798
0.000 0.798 0.202
0.500 0.702 0.702
0.500 0.298 0.298
```

Computed properties:
E_form in kJ/mol of formula units: -100.4
DOS at the Fermi energy in states/eV/cell: 16.7

# 7
A plane-wave DFT calculation with GGA-PBE was carried out for a relaxed Ba2InCuI crystal.

Structure (POSCAR):
```
Ba2InCuI
1.0
6.386 0.000 0.000
0.000 6.386 0.000
0.000 0.000 4.879
I Ba Cu In
1 2 1 1
direct
0.500 0.500 0.500
0.000 0.500 0.000
0.500 0.000 0.000
0.000 0.000 0.000
0.000 0.000 0.500
```

Computed properties:
DOS at the Fermi energy in states/eV/cell: 4.0
Raw formation energy in eV/atom: -0.54

# 8
A plane-wave DFT calculation with GGA-PBE was carried out for a relaxed NiRuSe2 crystal.

Structure (POSCAR):
```
NiRuSe2
1.0
-4.164 5.330 2.284
-4.812 1.584 5.030
6.230 -2.551 -2.375
Ni Ru Se
1 1 2
direct
0.532 0.532 0.000
0.179 0.679 0.500
0.024 0.024 0.000
0.765 0.265 0.500
```

Computed properties:
DOS at the Fermi energy in states/eV/cell: 2.6
Raw formation energy in eV/atom: 0.03

# 9
A plane-wave DFT calculation with GGA-PBE was carried out for a relaxed MnPd5Au5 crystal.

Structure (POSCAR):
```
MnPd5Au5
1.0
-1.990 -2.429 -4.697
-5.174 0.673 3.404
-4.765 5.653 0.613
Mn Pd Au
1 5 5
direct
0.000 0.000 0.000
0.164 0.509 0.164
0.166 0.002 0.669
0.500 0.000 0.000
0.834 0.998 0.331
0.836 0.491 0.836
0.333 0.993 0.332
0.336 0.496 0.829
0.000 0.500 0.500
0.664 0.504 0.171
0.667 0.007 0.668
```

Computed properties:
E_form in kJ/mol of formula units: -38.6
DOS at the Fermi energy in states/eV/cell: 6.1

# 10
A plane-wave DFT calculation with GGA-PBE was carried out for a relaxed Sc4ZnGa2 crystal.

Structure (POSCAR):
```
Sc4ZnGa2
1.0
4.974 0.000 0.000
0.000 4.974 0.000
2.487 2.487 6.758
Sc Zn Ga
4 1 2
direct
0.191 0.191 0.618
0.809 0.809 0.382
0.000 0.500 0.000
0.500 0.000 0.000
0.000 0.000 0.000
0.390 0.390 0.220
0.610 0.610 0.780
```

Computed properties:
E_form in kJ/mol of formula units: -4.6
DOS at the Fermi energy in states/eV/cell: 8.6

# 11
A plane-wave DFT calculation with GGA-PBE was carried out for a relaxed RbIBr crystal.

Structure (POSCAR):
```
RbIBr
1.0
-0.170 3.942 2.796
-2.925 -2.311 3.080
11.367 -4.683 7.267
Rb I Br
2 2 2
direct
0.249 0.250 0.328
0.751 0.750 0.672
0.251 0.250 0.807
0.749 0.750 0.193
0.750 0.750 0.407
0.250 0.250 0.593
```

Computed properties:
DOS at the Fermi energy in states/eV/cell: 0.8
Raw formation energy in eV/atom: -0.92

# 12
A plane-wave DFT calculation with GGA-PBE was carried out for a relaxed LaAs2RuO8 crystal.

Structure (POSCAR):
```
LaAs2RuO8
1.0
5.484 0.000 0.000
-2.742 4.749 0.000
0.000 0.000 6.904
La As Ru O
1 2 1 8
direct
0.000 0.000 0.500
0.667 0.333 0.265
0.333 0.667 0.735
0.000 0.000 0.000
0.843 0.157 0.201
0.843 0.685 0.201
0.315 0.157 0.201
0.685 0.843 0.799
0.333 0.667 0.490
0.667 0.333 0.510
0.157 0.843 0.799
0.157 0.315 0.799
```

Computed properties:
DOS at the Fermi energy in states/eV/cell: 5.3
Raw formation energy in eV/atom: -1.52

# 13
A plane-wave DFT calculation with GGA-PBE was carried out for a relaxed La4SnSb2 crystal.

Structure (POSCAR):
```
La4SnSb2
1.0
8.435 -0.007 0.000
-2.789 7.961 0.000
-2.823 -3.977 6.882
La Sn Sb
8 2 4
direct
0.984 0.376 0.252
0.124 0.733 0.748
0.626 0.874 0.109
0.766 0.517 0.891
0.126 0.234 0.752
0.483 0.374 0.248
0.624 0.876 0.609
0.267 0.016 0.391
0.750 0.250 0.500
0.000 0.000 0.000
0.375 0.500 0.625
0.875 0.750 0.375
0.500 0.125 0.875
0.250 0.625 0.125
```

Computed properties:
DOS at the Fermi energy in states/eV/cell: 16.8
Raw formation energy in eV/atom: -1.02

# 14
A plane-wave DFT calculation with GGA-PBE was carried out for a relaxed In2Tc2Sb crystal.

Structure (POSCAR):
```
In2Tc2Sb
1.0
6.843 0.000 0.000
0.000 6.843 0.000
0.000 0.000 4.209
Sb Tc In
2 4 4
direct
0.000 0.000 0.000
0.500 0.500 0.000
0.358 0.858 0.000
0.858 0.642 0.000
0.642 0.142 0.000
0.142 0.358 0.000
0.158 0.658 0.500
0.658 0.842 0.500
0.842 0.342 0.500
0.342 0.158 0.500
```

Computed properties:
DOS at the Fermi energy in states/eV/cell: 7.2
Raw formation energy in eV/atom: 0.23

# 15
A plane-wave DFT calculation with GGA-PBE was carried out for a relaxed ScAsPd6 crystal.

Structure (POSCAR):
```
ScAsPd6
1.0
5.523 0.080 -0.550
-1.981 5.156 -0.550
-1.333 -1.971 5.009
Sc As Pd
1 1 6
direct
0.000 0.000 0.000
0.500 0.500 0.500
0.248 0.248 0.731
0.731 0.248 0.248
0.752 0.752 0.269
0.752 0.269 0.752
0.269 0.752 0.752
0.248 0.731 0.248
```

Computed properties:
E_form in kJ/mol of formula units: -280.2
DOS at the Fermi energy in states/eV/cell: 5.5

# 16
A plane-wave DFT calculation with GGA-PBE was carried out for a relaxed Sc4ZnPd2Pt crystal.

Structure (POSCAR):
```
Sc4ZnPd2Pt
1.0
-2.591 3.899 -0.111
-3.299 0.526 -3.280
-7.126 -1.823 3.533
Sc Zn Pd Pt
4 1 2 1
direct
0.378 0.378 0.867
0.873 0.873 0.381
0.127 0.127 0.619
0.622 0.622 0.133
0.000 0.000 0.000
0.745 0.745 0.764
0.255 0.255 0.236
0.500 0.500 0.500
```

Computed properties:
E_form in kJ/mol of formula units: -666.9
DOS at the Fermi energy in states/eV/cell: 6.9

# 17
A plane-wave DFT calculation with GGA-PBE was carried out for a relaxed CaCuTe2N crystal.

Structure (POSCAR):
```
CaCuTe2N
1.0
5.589 0.000 0.000
0.000 5.589 0.000
0.000 0.000 3.643
Ca Te Cu N
1 2 1 1
direct
0.500 0.500 0.500
0.000 0.500 0.000
0.500 0.000 0.000
0.000 0.000 0.000
0.000 0.000 0.500
```

Computed properties:
DOS at the Fermi energy in states/eV/cell: 3.9
Raw formation energy in eV/atom: 0.09

# 18
A plane-wave DFT calculation with GGA-PBE was carried out for a relaxed In2CoOs crystal.

Structure (POSCAR):
```
In2CoOs
1.0
4.632 -0.002 -0.005
3.636 2.870 -0.005
1.050 0.364 5.060
Co In Os
1 2 1
direct
0.250 0.250 0.250
0.996 0.996 0.007
0.504 0.504 0.493
0.750 0.750 0.750
```

Computed properties:
E_form in kJ/mol of formula units: 205.1
DOS at the Fermi energy in states/eV/cell: 4.6

# 19
A plane-wave DFT calculation with GGA-PBE was carried out for a relaxed Tb4Nd3Er4 crystal.

Structure (POSCAR):
```
Tb4Nd3Er4
1.0
-0.964 -2.606 2.253
4.791 -0.494 1.483
-4.950 14.799 12.353
Tb Nd Er
4 3 4
direct
0.546 0.545 0.092
0.454 0.455 0.908
0.818 0.817 0.634
0.182 0.183 0.366
0.636 0.636 0.274
0.364 0.364 0.726
0.000 0.000 0.000
0.092 0.090 0.182
0.272 0.272 0.544
0.728 0.728 0.456
0.908 0.911 0.818
```

Computed properties:
E_form in kJ/mol of formula units: 17.7
DOS at the Fermi energy in states/eV/cell: 13.6

# 20
A plane-wave DFT calculation with GGA-PBE was carried out for a relaxed Tb3NdTm8 crystal.

Structure (POSCAR):
```
Tb3NdTm8
1.0
-1.036 -8.149 1.581
6.488 5.150 -1.166
-2.376 3.185 7.369
Tb Nd Tm
3 1 8
direct
0.501 0.752 0.251
0.501 0.250 0.749
0.166 0.666 0.500
0.166 0.166 0.000
0.501 0.168 0.334
0.500 0.668 0.832
0.836 0.668 0.168
0.834 0.168 0.666
0.166 0.250 0.419
0.832 0.250 0.084
0.166 0.748 0.916
0.832 0.748 0.581
```

Computed properties:
E_form in kJ/mol of formula units: 8.4
DOS at the Fermi energy in states/eV/cell: 21.7